(1)
Entry from Alexandria via LeMat-Bulk: a relaxed La2ZrPb crystal (GGA-PBEsol).

Calculated values
symmetry	R-3m, No. 166
E_form	-33	meV per atom

a b c (Å): 3.468 3.468 11.322
angles (deg): 81.19 81.19 60.00
Fractional positions:
La: 0.252 0.252 0.243
La: 0.748 0.748 0.757
Pb: 0.500 0.500 0.500
Zr: 0.000 0.000 0.000

---

(2)
Entry from Alexandria via LeMat-Bulk: a relaxed La3Pd4 crystal (GGA-PBEsol).

Calculated values
symmetry	R-3, No. 148
E_form	-788	meV per atom

a b c (Å): 5.747 8.170 8.170
angles (deg): 114.68 103.56 103.56
Fractional positions:
La: 0.406 0.376 0.123
La: 0.030 0.747 0.624
La: 0.283 0.877 0.253
La: 0.594 0.624 0.877
La: 0.970 0.253 0.376
La: 0.717 0.123 0.747
Pd: 0.000 0.000 0.000
Pd: 0.500 0.000 0.000
Pd: 0.220 0.164 0.663
Pd: 0.056 0.499 0.836
Pd: 0.557 0.337 0.501
Pd: 0.780 0.836 0.337
Pd: 0.944 0.501 0.164
Pd: 0.443 0.663 0.499

---

(3)
Entry from Alexandria via LeMat-Bulk: a relaxed LaPd2 crystal (GGA-PBEsol).

Calculated values
symmetry	I4/mmm, No. 139
E_form	-525	meV per atom

a b c (Å): 3.902 3.902 5.203
angles (deg): 112.02 112.02 90.00
Fractional positions:
La: 0.000 0.000 0.000
Pd: 0.250 0.750 0.500
Pd: 0.750 0.250 0.500

---

(4)
Entry from Alexandria via LeMat-Bulk: a relaxed LaPd crystal (GGA-PBEsol).

Calculated values
symmetry	Cmcm, No. 63
E_form	-775	meV per atom

a b c (Å): 3.916 4.586 5.788
angles (deg): 90.00 109.77 90.00
Fractional positions:
Pd: 0.587 0.750 0.174
Pd: 0.413 0.250 0.826
La: 0.865 0.750 0.729
La: 0.135 0.250 0.271

---

(5)
Entry from Alexandria via LeMat-Bulk: a relaxed LaPd3 crystal (GGA-PBEsol).

Calculated values
symmetry	Pm-3m, No. 221
E_form	-789	meV per atom

a b c (Å): 4.146 4.146 4.146
angles (deg): 90.00 90.00 90.00
Fractional positions:
Pd: 0.000 0.500 0.500
Pd: 0.500 0.500 0.000
Pd: 0.500 0.000 0.500
La: 0.000 0.000 0.000

---

(6)
Entry from Alexandria via LeMat-Bulk: a relaxed LaPd3Pt crystal (GGA-PBEsol).

Calculated values
symmetry	Pm-3m, No. 221
E_form	191	meV per atom

a b c (Å): 4.840 4.840 4.840
angles (deg): 90.00 90.00 90.00
Fractional positions:
Pd: 0.000 0.500 0.000
Pd: 0.000 0.000 0.500
Pd: 0.500 0.000 0.000
Pt: 0.000 0.000 0.000
La: 0.500 0.500 0.500

---

(7)
Entry from Alexandria via LeMat-Bulk: a relaxed La2PdRh2 crystal (GGA-PBEsol).

Calculated values
symmetry	P4/mbm, No. 127
E_form	-630	meV per atom

a b c (Å): 3.867 7.343 7.343
angles (deg): 90.00 90.00 90.00
Fractional positions:
Rh: 0.000 0.368 0.868
Rh: 0.000 0.868 0.632
Rh: 0.000 0.632 0.132
Rh: 0.000 0.132 0.368
Pd: 0.000 0.000 0.000
Pd: 0.000 0.500 0.500
La: 0.500 0.179 0.679
La: 0.500 0.679 0.821
La: 0.500 0.821 0.321
La: 0.500 0.321 0.179

---

(8)
Entry from Alexandria via LeMat-Bulk: a relaxed LaZn2PdRu crystal (GGA-PBEsol).

Calculated values
symmetry	P4/mmm, No. 123
E_form	260	meV per atom

a b c (Å): 4.733 4.733 4.986
angles (deg): 90.00 90.00 90.00
Fractional positions:
Ru: 0.000 0.000 0.000
Zn: 0.000 0.500 0.000
Zn: 0.500 0.000 0.000
Pd: 0.500 0.500 0.500
La: 0.000 0.000 0.500

---

(9)
Entry from Alexandria via LeMat-Bulk: a relaxed LaPdS2 crystal (GGA-PBEsol).

Calculated values
symmetry	I-42d, No. 122
ΔE_f (raw)	-1.120	eV per atom

a b c (Å): 5.107 5.107 8.076
angles (deg): 108.43 108.43 90.00
Fractional positions:
S: 0.443 0.875 0.250
S: 0.807 0.375 0.250
S: 0.125 0.193 0.750
S: 0.625 0.557 0.750
Pd: 0.750 0.250 0.500
Pd: 0.500 0.500 0.000
La: 0.250 0.750 0.500
La: 0.000 0.000 0.000

---

(10)
Entry from Alexandria via LeMat-Bulk: a relaxed La3PdS crystal (GGA-PBEsol).

Calculated values
symmetry	Pm-3m, No. 221
ΔE_f (raw)	-0.615	eV per atom

a b c (Å): 5.353 5.353 5.353
angles (deg): 90.00 90.00 90.00
Fractional positions:
S: 0.000 0.000 0.000
Pd: 0.500 0.500 0.500
La: 0.000 0.500 0.000
La: 0.000 0.000 0.500
La: 0.500 0.000 0.000

---

(11)
Entry from Alexandria via LeMat-Bulk: a relaxed LaSnPdS2 crystal (GGA-PBEsol).

Calculated values
symmetry	P4/mmm, No. 123
ΔE_f (raw)	-0.100	eV per atom

a b c (Å): 5.040 5.403 5.403
angles (deg): 90.00 90.00 90.00
Fractional positions:
S: 0.000 0.000 0.500
S: 0.000 0.500 0.000
Sn: 0.500 0.500 0.500
Pd: 0.500 0.000 0.000
La: 0.000 0.000 0.000

---

(12)
Entry from Alexandria via LeMat-Bulk: a relaxed LaSbPd crystal (GGA-PBEsol).

Calculated values
symmetry	P6_3/mmc, No. 194
ΔE_f (raw)	-1.136	eV per atom

a b c (Å): 4.574 4.574 16.230
angles (deg): 90.00 90.00 120.00
Fractional positions:
Sb: 0.333 0.667 0.880
Sb: 0.667 0.333 0.380
Sb: 0.667 0.333 0.120
Sb: 0.333 0.667 0.620
Pd: 0.333 0.667 0.368
Pd: 0.667 0.333 0.868
Pd: 0.667 0.333 0.632
Pd: 0.333 0.667 0.132
La: 0.000 0.000 0.000
La: 0.000 0.000 0.500
La: 0.000 0.000 0.250
La: 0.000 0.000 0.750

---

no.,final energy (eV/atom),theoretical density (Mg/m³)
1,-5.978,8.25
2,-6.484,8.91
3,-6.279,8.70
4,-6.427,8.33
5,-6.595,10.67
6,-5.847,9.57
7,-7.215,9.40
8,-4.668,7.09
9,-6.138,5.46
10,-5.891,6.01
11,-4.967,4.83
12,-6.424,8.29